# Ac2Zn2Co (PBE-GGA, optimized geometry)
# - DFT formation energy: -18.2 kJ per mole of atoms
# - N(E_F): 7.35 states/eV/cell
# - VASP energy: -0.138 hartree per atom
# - Space group: No. 2
data_Ac2Zn2Co
_chemical_formula_sum 'Ac4 Zn4 Co2'
_cell_length_a 4.021
_cell_length_b 6.231
_cell_length_c 11.086
_cell_angle_alpha 84.84
_cell_angle_beta 79.55
_cell_angle_gamma 71.21
_space_group_name_H-M_alt 'P 1'
_space_group_IT_number 1
loop_
_space_group_symop_operation_xyz
'x,y,z'
loop_
_atom_site_label
_atom_site_type_symbol
_atom_site_fract_x
_atom_site_fract_y
_atom_site_fract_z
_atom_site_occupancy
Co1 Co 0.427 0.840 0.305 1
Co2 Co 0.573 0.160 0.695 1
Zn1 Zn 0.378 0.123 0.121 1
Zn2 Zn 0.622 0.877 0.879 1
Zn3 Zn 0.034 0.343 0.590 1
Zn4 Zn 0.966 0.657 0.410 1
Ac1 Ac 0.717 0.204 0.361 1
Ac2 Ac 0.283 0.796 0.639 1
Ac3 Ac 0.910 0.303 0.880 1
Ac4 Ac 0.090 0.697 0.120 1

# Ac4Zn2Co (PBE-GGA, optimized geometry)
# - DFT formation energy: -10.1 kJ per mole of atoms
# - N(E_F): 7.73 states/eV/cell
# - VASP energy: -0.141 hartree per atom
# - Space group: No. 12
data_Ac4Zn2Co
_chemical_formula_sum 'Ac4 Zn2 Co1'
_cell_length_a 4.286
_cell_length_b 6.740
_cell_length_c 8.401
_cell_angle_alpha 104.13
_cell_angle_beta 104.78
_cell_angle_gamma 90.00
_space_group_name_H-M_alt 'P 1'
_space_group_IT_number 1
loop_
_space_group_symop_operation_xyz
'x,y,z'
loop_
_atom_site_label
_atom_site_type_symbol
_atom_site_fract_x
_atom_site_fract_y
_atom_site_fract_z
_atom_site_occupancy
Ac1 Ac 0.425 0.720 0.851 1
Ac2 Ac 0.575 0.280 0.149 1
Ac3 Ac 0.150 0.837 0.301 1
Ac4 Ac 0.850 0.163 0.699 1
Zn1 Zn 0.239 0.375 0.478 1
Zn2 Zn 0.761 0.625 0.522 1
Co1 Co 0.000 0.000 0.000 1

# Ac3ZnCo (PBE-GGA, optimized geometry)
# - DFT formation energy: -9.5 kJ per mole of atoms
# - Energy above the most stable polymorph in this dataset: 0 meV per atom
# - N(E_F): 8.74 states/eV/cell
# - VASP energy: -0.156 hartree per atom
# - Space group: No. 2
data_Ac3ZnCo
_chemical_formula_sum 'Ac6 Zn2 Co2'
_cell_length_a 4.154
_cell_length_b 7.971
_cell_length_c 10.368
_cell_angle_alpha 88.74
_cell_angle_beta 90.00
_cell_angle_gamma 74.85
_space_group_name_H-M_alt 'P 1'
_space_group_IT_number 1
loop_
_space_group_symop_operation_xyz
'x,y,z'
loop_
_atom_site_label
_atom_site_type_symbol
_atom_site_fract_x
_atom_site_fract_y
_atom_site_fract_z
_atom_site_occupancy
Zn1 Zn 0.628 0.099 0.840 1
Zn2 Zn 0.455 0.446 0.774 1
Co1 Co 0.847 0.661 0.148 1
Co2 Co 0.236 0.885 0.466 1
Ac1 Ac 0.008 0.343 0.020 1
Ac2 Ac 0.803 0.751 0.634 1
Ac3 Ac 0.280 0.794 0.979 1
Ac4 Ac 0.075 0.203 0.594 1
Ac5 Ac 0.400 0.555 0.327 1
Ac6 Ac 0.683 0.991 0.287 1

# Ac3Zn3Co (PBE-GGA, optimized geometry)
# - DFT formation energy: -18.5 kJ per mole of atoms
# - N(E_F): 5.78 states/eV/cell
# - VASP energy: -0.129 hartree per atom
# - Space group: No. 44
data_Ac3Zn3Co
_chemical_formula_sum 'Ac3 Zn3 Co1'
_cell_length_a 4.558
_cell_length_b 4.253
_cell_length_c 10.311
_cell_angle_alpha 101.90
_cell_angle_beta 102.77
_cell_angle_gamma 90.00
_space_group_name_H-M_alt 'P 1'
_space_group_IT_number 1
loop_
_space_group_symop_operation_xyz
'x,y,z'
loop_
_atom_site_label
_atom_site_type_symbol
_atom_site_fract_x
_atom_site_fract_y
_atom_site_fract_z
_atom_site_occupancy
Ac1 Ac 0.995 0.995 0.989 1
Ac2 Ac 0.326 0.826 0.652 1
Ac3 Ac 0.688 0.188 0.376 1
Zn1 Zn 0.871 0.371 0.741 1
Zn2 Zn 0.557 0.557 0.115 1
Zn3 Zn 0.134 0.634 0.268 1
Co1 Co 0.429 0.429 0.859 1

# Ac2ZnCo (PBE-GGA, optimized geometry)
# - DFT formation energy: -1.3 kJ per mole of atoms
# - N(E_F): 3.52 states/eV/cell
# - VASP energy: -0.153 hartree per atom
# - Space group: No. 123
data_Ac2ZnCo
_chemical_formula_sum 'Ac2 Zn1 Co1'
_cell_length_a 3.743
_cell_length_b 3.743
_cell_length_c 7.802
_cell_angle_alpha 90.00
_cell_angle_beta 90.00
_cell_angle_gamma 90.00
_space_group_name_H-M_alt 'P 1'
_space_group_IT_number 1
loop_
_space_group_symop_operation_xyz
'x,y,z'
loop_
_atom_site_label
_atom_site_type_symbol
_atom_site_fract_x
_atom_site_fract_y
_atom_site_fract_z
_atom_site_occupancy
Ac1 Ac 0.000 0.000 0.768 1
Ac2 Ac 0.000 0.000 0.232 1
Co1 Co 0.500 0.500 0.000 1
Zn1 Zn 0.500 0.500 0.500 1

# AcZn4Co (PBE-GGA, optimized geometry)
# - DFT formation energy: -16.9 kJ per mole of atoms
# - Energy above the most stable polymorph in this dataset: 0 meV per atom
# - N(E_F): 7.90 states/eV/cell
# - VASP energy: -0.106 hartree per atom
# - Space group: No. 51
data_AcZn4Co
_chemical_formula_sum 'Ac2 Zn8 Co2'
_cell_length_a 4.032
_cell_length_b 7.248
_cell_length_c 7.780
_cell_angle_alpha 90.00
_cell_angle_beta 90.00
_cell_angle_gamma 90.00
_space_group_name_H-M_alt 'P 1'
_space_group_IT_number 1
loop_
_space_group_symop_operation_xyz
'x,y,z'
loop_
_atom_site_label
_atom_site_type_symbol
_atom_site_fract_x
_atom_site_fract_y
_atom_site_fract_z
_atom_site_occupancy
Ac1 Ac 0.000 0.406 0.250 1
Ac2 Ac 0.000 0.594 0.750 1
Co1 Co 0.000 0.805 0.250 1
Co2 Co 0.000 0.195 0.750 1
Zn1 Zn 0.500 0.736 0.434 1
Zn2 Zn 0.500 0.045 0.250 1
Zn3 Zn 0.500 0.264 0.566 1
Zn4 Zn 0.000 0.000 0.500 1
Zn5 Zn 0.000 0.000 0.000 1
Zn6 Zn 0.500 0.264 0.934 1
Zn7 Zn 0.500 0.955 0.750 1
Zn8 Zn 0.500 0.736 0.066 1